First-principles (PBE) data for a geometry-optimized La2YH structure, as listed in Alexandria.

- space group = Fm-3m, No. 225
- ΔE to the lowest computed polymorph (meV per atom) = 804
- energy (Ry per atom) = -0.3139
- size of the total moment (μB/atom) = 0.000

Cell lengths 5.4607, 5.4607, 5.4607 Å; angles 60.00, 60.00, 60.00 degrees
Closest atoms and distances in Å follow each position.
Fractional coordinates of all 4 atoms:
La1 0.2500 0.2500 0.2500  4 H 3.34, 4 Y 3.34
La2 0.7500 0.7500 0.7500  4 H 3.34, 4 Y 3.34
Y1 0.0000 0.0000 0.0000  8 La 3.34
H1 0.5000 0.5000 0.5000  8 La 3.34